# 1
# MgGaCuBi2

Crystalline MgGaCuBi2 at its relaxed geometry (PBE, Alexandria via LeMat-Bulk).

Values from the calculation:
DOS at the Fermi energy, states/eV per cell: 2.493
Crystal system: tetragonal
SG: P4/mmm, No. 123
E, eV/cell: -15.14
ΔE_f, eV/f.u.: 1.3

a b c (Å): 5.3053 5.3053 4.9051
angles (deg): 90.00 90.00 90.00
Element x y z (fractional)
1 Mg 0.0000 0.0000 0.0000
2 Ga 0.5000 0.5000 0.0000
3 Cu 0.0000 0.0000 0.5000
4 Bi 0.0000 0.5000 0.5000
5 Bi 0.5000 0.0000 0.5000


# 2
# NaTl2Ni

Crystalline NaTl2Ni at its relaxed geometry (PBE, Alexandria via LeMat-Bulk).

Values from the calculation:
DOS at the Fermi energy, states/eV per cell: 5.111
Crystal system: trigonal
SG: R-3m, No. 166
E, eV/cell: -33.82
ΔE_f, eV/f.u.: 0.6

a b c (Å): 4.0344 4.0344 21.8365
angles (deg): 90.00 90.00 120.00
Element x y z (fractional)
1 Na 0.0000 0.0000 0.0000
2 Na 0.3333 0.6667 0.6667
3 Na 0.6667 0.3333 0.3333
4 Tl 0.0000 0.0000 0.2280
5 Tl 0.0000 0.0000 0.7720
6 Tl 0.3333 0.6667 0.4387
7 Tl 0.3333 0.6667 0.8947
8 Tl 0.6667 0.3333 0.1053
9 Tl 0.6667 0.3333 0.5613
10 Ni 0.0000 0.0000 0.5000
11 Ni 0.3333 0.6667 0.1667
12 Ni 0.6667 0.3333 0.8333


# 3
# SiP2Ru

Crystalline SiP2Ru at its relaxed geometry (PBE, Alexandria via LeMat-Bulk).

Values from the calculation:
DOS at the Fermi energy, states/eV per cell: 0.756
Crystal system: triclinic
SG: P1, No. 1
E, eV/cell: -25.95
Formation energy from raw total energies, kJ per mole of atoms: -10.3

a b c (Å): 3.8949 4.3889 4.4890
angles (deg): 113.38 113.03 91.37
Element x y z (fractional)
1 Si 0.0000 0.0000 0.0000
2 P 0.1063 0.7848 0.4180
3 P 0.5064 0.2782 0.8034
4 Ru 0.5767 0.4743 0.3985